Below is a relaxed structure of AsIBr2, with properties calculated at the GGA-PBE level.

Summary:
D(E_F) in states/eV/atom: 0.9967
Energy above the most stable polymorph in this dataset in meV per atom: 554

Cell lengths 7.738, 7.738, 8.127 Å; angles 61.57, 61.57, 90.00 degrees
Positions (direct):
I: 0.000 0.000 0.000
I: 0.750 0.250 0.500
As: 0.500 0.500 0.000
As: 0.250 0.750 0.500
Br: 0.478 0.125 0.250
Br: 0.272 0.625 0.250
Br: 0.375 0.522 0.750
Br: 0.875 0.728 0.750

=====

Below is a relaxed structure of AsIBr2, with properties calculated at the GGA-PBE level.

Summary:
Energy above the most stable polymorph in this dataset in meV per atom: 46

Cell lengths 3.930, 7.201, 12.501 Å; angles 90.00, 90.00, 105.84 degrees
Positions (direct):
As: 0.888 0.776 0.250
As: 0.112 0.224 0.750
I: 0.073 0.145 0.250
I: 0.927 0.855 0.750
Br: 0.637 0.274 0.898
Br: 0.363 0.726 0.102
Br: 0.363 0.726 0.398
Br: 0.637 0.274 0.602

=====

Below is a relaxed structure of AsIBr, with properties calculated at the GGA-PBE level.

Summary:
D(E_F) in states/eV/atom: 0.0373
Energy above the most stable polymorph in this dataset in meV per atom: 191

Cell lengths 7.469, 6.732, 7.782 Å; angles 73.05, 89.62, 56.32 degrees
Positions (direct):
As: 0.845 0.852 0.589
As: 0.601 0.340 0.452
I: 0.082 0.377 0.612
I: 0.364 0.815 0.428
Br: 0.585 0.368 0.143
Br: 0.860 0.823 0.898

=====

Below is a relaxed structure of AsIBr3, with properties calculated at the GGA-PBE level.

Summary:
D(E_F) in states/eV/atom: 0.2862
Energy above the most stable polymorph in this dataset in meV per atom: 0

Cell lengths 10.705, 7.631, 5.984 Å; angles 93.81, 78.33, 94.58 degrees
Positions (direct):
As: 0.328 0.861 0.605
As: 0.810 0.533 0.099
I: 0.331 0.542 0.761
I: 0.979 0.785 0.211
Br: 0.332 0.550 0.257
Br: 0.300 0.042 0.956
Br: 0.712 0.437 0.467
Br: 0.978 0.781 0.707
Br: 0.939 0.297 0.968
Br: 0.548 0.937 0.476

=====

Below is a relaxed structure of As2IBr, with properties calculated at the GGA-PBE level.

Summary:
D(E_F) in states/eV/atom: 0.8249
Energy above the most stable polymorph in this dataset in meV per atom: 0

Cell lengths 8.024, 8.024, 6.617 Å; angles 52.67, 52.67, 90.00 degrees
Positions (direct):
I: 0.000 0.000 0.000
I: 0.750 0.250 0.500
As: 0.621 0.125 0.250
As: 0.129 0.625 0.250
As: 0.375 0.379 0.750
As: 0.875 0.871 0.750
Br: 0.500 0.500 0.000
Br: 0.250 0.750 0.500

=====

Below is a relaxed structure of AsIBr, with properties calculated at the GGA-PBE level.

Summary:
Energy above the most stable polymorph in this dataset in meV per atom: 0

Cell lengths 5.516, 6.856, 7.908 Å; angles 99.46, 110.41, 90.00 degrees
Positions (direct):
As: 0.749 0.983 0.499
As: 0.251 0.017 0.501
Br: 0.600 0.785 0.201
Br: 0.400 0.215 0.799
I: 0.854 0.719 0.708
I: 0.146 0.281 0.292

=====

Below is a relaxed structure of AsIBr2, with properties calculated at the GGA-PBE level.

Summary:
D(E_F) in states/eV/atom: 0.0000
Energy above the most stable polymorph in this dataset in meV per atom: 0

Cell lengths 6.144, 7.251, 4.722 Å; angles 72.39, 97.87, 115.09 degrees
Positions (direct):
As: 0.749 0.243 0.367
I: 0.165 0.233 0.536
Br: 0.851 0.536 0.933
Br: 0.569 0.951 0.154

=====

Below is a relaxed structure of InAsIBr2, with properties calculated at the GGA-PBE level.

Summary:
D(E_F) in states/eV/atom: 0.4796
Energy above the most stable polymorph in this dataset in meV per atom: 0

Cell lengths 5.243, 5.243, 5.912 Å; angles 90.00, 90.00, 90.00 degrees
Site moments in Bohr magnetons follow the coordinates.
Positions (direct):
I: 0.500 0.500 0.500  -0.06
As: 0.000 0.000 0.500  0.40
Br: 0.000 0.500 0.000  0.01
Br: 0.500 0.000 0.000  0.01
In: 0.000 0.000 0.000  -0.01

=====

Below is a relaxed structure of KAsIBr2, with properties calculated at the GGA-PBE level.

Summary:
D(E_F) in states/eV/atom: 0.0861
Energy above the most stable polymorph in this dataset in meV per atom: 0

Cell lengths 5.484, 5.484, 5.821 Å; angles 90.00, 90.00, 90.00 degrees
Positions (direct):
I: 0.000 0.000 0.500
As: 0.000 0.000 0.000
K: 0.500 0.500 0.500
Br: 0.000 0.500 0.000
Br: 0.500 0.000 0.000

=====

Below is a relaxed structure of KAsIBr2, with properties calculated at the GGA-PBE level.

Summary:
D(E_F) in states/eV/atom: 0.6482
Energy above the most stable polymorph in this dataset in meV per atom: 608

Cell lengths 6.438, 6.438, 5.211 Å; angles 90.00, 90.00, 90.00 degrees
Positions (direct):
I: 0.000 0.000 0.000
As: 0.000 0.000 0.500
K: 0.500 0.500 0.500
Br: 0.000 0.500 0.000
Br: 0.500 0.000 0.000

=====

Below is a relaxed structure of KAsIBr2, with properties calculated at the GGA-PBE level.

Summary:
D(E_F) in states/eV/atom: 1.4363
Energy above the most stable polymorph in this dataset in meV per atom: 1034

Cell lengths 5.812, 5.812, 8.817 Å; angles 90.00, 90.00, 90.00 degrees
Site moments in Bohr magnetons follow the coordinates.
Positions (direct):
I: 0.500 0.500 0.500  -0.29
As: 0.000 0.000 0.500  1.04
K: 0.000 0.000 0.000  0.00
Br: 0.000 0.500 0.000  0.34
Br: 0.500 0.000 0.000  0.34

=====

Below is a relaxed structure of La4AsI2Br, with properties calculated at the GGA-PBE level.

Summary:
D(E_F) in states/eV/atom: 0.7421

Cell lengths 4.327, 7.405, 8.329 Å; angles 107.68, 90.00, 90.00 degrees
Positions (direct):
La: 0.500 0.231 0.209
La: 0.500 0.769 0.791
La: 0.000 0.256 0.788
La: 0.000 0.744 0.212
As: 0.000 0.000 0.000
I: 0.500 0.000 0.500
I: 0.000 0.500 0.500
Br: 0.500 0.500 0.000

=====

The following magnetic moment values (in μB per cell) correspond, in order, to the records above: 0.0; 0.0; 0.0; 0.0; 0.0; 0.0; 0.0; 0.8; 0.0; 0.0; 2.8; 0.0.
The following formation energy (no corrections) values (in kJ per mole of atoms) correspond, in order, to the records above: 21; -28; -4; -24; 57; -22; -32; 9; -71; -12; 29; -120.